P | Compound: Ba2ScPt
Source: the Alexandria database
Functional: GGA-PBE
Structure: optimized geometry

Magnetization in μB/f.u.: 0.00

abc: 3.7350 3.7350 9.9366
angles: 90.00 90.00 90.00
With the nearest neighbours (Å) after each atom.
Space group P4mm (No. 99)
Unique sites:
Ba (0.0000, 0.0000, 0.0000) (multiplicity 1)  1 Pt 3.73, 4 Ba 3.73, 4 Sc 3.88
Ba (0.5000, 0.5000, 0.3837) (multiplicity 1)  1 Sc 3.29, 4 Pt 3.56
Sc (0.5000, 0.5000, 0.7144) (multiplicity 1)  4 Pt 2.79
Pt (0.0000, 0.0000, 0.6242) (multiplicity 1)  4 Sc 2.79



Q | Compound: Ba2ScPt
Source: the Alexandria database
Functional: GGA-PBE
Structure: optimized geometry

Magnetization in μB/f.u.: 0.01

abc: 8.0201 8.0201 8.0201
angles: 90.00 90.00 90.00
With the nearest neighbours (Å) after each atom.
Space group Fm-3m (No. 225)
Unique sites:
Ba (0.2500, 0.2500, 0.2500) (multiplicity 8)  4 Sc 3.47, 4 Pt 3.47
Sc (0.0000, 0.0000, 0.0000) (multiplicity 4)  8 Ba 3.47
Pt (0.0000, 0.0000, 0.5000) (multiplicity 4)  8 Ba 3.47



Name the least stable of them. Q.